Here is Pb3Cl after structural relaxation from Alexandria via LeMat-Bulk. Energies are from PBE.

Values from the calculation:
The density of states at the Fermi level is 1.5 states/eV per cell. For the excess energy over the best structure of this formula in the dataset, the calculation gives 4 meV/atom. For the formation energy from raw total energies, the calculation gives -0.291 eV per atom. The symmetry is R-3m.

Cell and atoms, written as POSCAR:
```
Pb3Cl
1.0
-4.881 8.578 -4.648
-3.683 6.922 -7.584
-6.798 5.942 -6.123
Cl Pb
1 3
Direct
0.000 0.000 0.000 Cl
0.741 0.741 0.741 Pb
0.500 0.500 0.500 Pb
0.259 0.259 0.259 Pb
```